# 1
A relaxed structure of AcMg4Cd2Au. Source: the Alexandria database, functional PBE.

Cell: 4.8479 4.8479 29.1852 Å, 90.00 90.00 120.00°
Space group R-3m (No. 166, hexagonal axes)
Unique sites:
Ac1 0.0000 0.0000 0.0000
Mg1 0.0000 0.0000 0.1364
Mg2 0.0000 0.0000 0.4084
Cd1 0.0000 0.0000 0.2546
Au1 0.0000 0.0000 0.5000



# 2
A relaxed structure of La2YGe3Ir4. Source: the Alexandria database, functional PBE.

Cell: 4.231 4.231 11.332 Å, 90.00 90.00 90.00°
Space group P-4m2 (No. 115)
Unique sites:
La1 0.000 0.500 0.233
Y1 0.000 0.000 0.500
Ge1 0.000 0.500 0.880
Ge2 0.500 0.500 0.500
Ir1 0.000 0.000 0.000
Ir2 0.000 0.500 0.661
Ir3 0.500 0.500 0.000



# 3
A relaxed structure of FeTc5. Source: the Alexandria database, functional PBE.

Cell: 7.133 7.133 7.133 Å, 90.00 90.00 90.00°
Space group F-43m (No. 216)
Unique sites:
Fe1 0.000 0.000 0.000
Tc1 0.126 0.126 0.374
Tc2 0.250 0.250 0.750



# 4
A relaxed structure of Ce8Co2Tc. Source: the Alexandria database, functional PBE.

Cell: 7.626 12.443 5.739 Å, 90.00 110.39 90.00°
Space group Cm (No. 8)
Unique sites:
Ce1 0.000 0.000 0.000
Ce2 0.092 0.387 0.767
Ce3 0.161 0.113 0.584
Ce4 0.251 0.500 0.350
Ce5 0.375 0.218 0.175
Co1 0.377 0.291 0.676
Tc1 0.377 0.000 0.176



Number 1: ΔE_f -2.26 eV per formula unit, N(E_F) 7.8 states/eV per cell, total magnetic moment 0.00 Bohr magnetons per cell. Number 2: ΔE_f -8.09 eV per formula unit, N(E_F) 6.0 states/eV per cell, total magnetic moment 0.00 Bohr magnetons per cell. Number 3: ΔE_f 2.22 eV per formula unit, N(E_F) 24.3 states/eV per cell, total magnetic moment 8.45 Bohr magnetons per cell. Number 4: ΔE_f -0.66 eV per formula unit, N(E_F) 54.4 states/eV per cell, total magnetic moment 4.09 Bohr magnetons per cell.